# 1
{"formula": "SrDy2Pt", "functional": "PBE", "state": "relaxed", "cell": [[2.081, 1.201, 9.610], [-2.081, 1.201, 9.610], [0.000, -2.402, 9.610]], "species": ["Sr", "Dy", "Dy", "Pt"], "fractional_positions": [[0.000, 0.000, 0.000], [0.217, 0.217, 0.217], [0.783, 0.783, 0.783], [0.500, 0.500, 0.500]], "e_form_ev_per_atom": -0.56, "total_energy_ev_per_atom": -4.791, "sg": "No. 166"}

# 2
{"formula": "SrDy3Pt", "functional": "PBE", "state": "relaxed", "cell": [[5.570, 0.000, 0.000], [0.000, 5.570, 0.000], [0.000, 0.000, 5.570]], "species": ["Sr", "Dy", "Dy", "Dy", "Pt"], "fractional_positions": [[0.000, 0.000, 0.000], [0.000, 0.500, 0.500], [0.500, 0.000, 0.500], [0.500, 0.500, 0.000], [0.500, 0.500, 0.500]], "e_form_ev_per_atom": -0.39, "total_energy_ev_per_atom": -4.700, "sg": "No. 221"}

# 3
{"formula": "SrDy2Pt9", "functional": "PBE", "state": "relaxed", "cell": [[2.736, 1.580, 8.804], [-2.736, 1.580, 8.804], [0.000, -3.160, 8.804]], "species": ["Sr", "Dy", "Dy", "Pt", "Pt", "Pt", "Pt", "Pt", "Pt", "Pt", "Pt", "Pt"], "fractional_positions": [[0.000, 0.000, 0.000], [0.140, 0.140, 0.140], [0.860, 0.860, 0.860], [0.081, 0.588, 0.588], [0.332, 0.332, 0.332], [0.412, 0.412, 0.919], [0.412, 0.919, 0.412], [0.500, 0.500, 0.500], [0.588, 0.081, 0.588], [0.588, 0.588, 0.081], [0.668, 0.668, 0.668], [0.919, 0.412, 0.412]], "e_form_ev_per_atom": -0.88, "total_energy_ev_per_atom": -6.315, "sg": "No. 166"}

# 4
{"formula": "SrDyPt4", "functional": "PBE", "state": "relaxed", "cell": [[0.000, 3.890, 3.890], [3.890, 0.000, 3.890], [3.890, 3.890, 0.000]], "species": ["Sr", "Dy", "Pt", "Pt", "Pt", "Pt"], "fractional_positions": [[0.000, 0.000, 0.000], [0.250, 0.250, 0.250], [0.126, 0.625, 0.625], [0.625, 0.126, 0.625], [0.625, 0.625, 0.126], [0.625, 0.625, 0.625]], "e_form_ev_per_atom": -0.96, "total_energy_ev_per_atom": -6.037, "sg": "No. 216"}

# 5
{"formula": "Sr2DyPt9", "functional": "PBE", "state": "relaxed", "cell": [[2.726, 1.574, 9.025], [-2.726, 1.574, 9.025], [0.000, -3.148, 9.025]], "species": ["Sr", "Sr", "Dy", "Pt", "Pt", "Pt", "Pt", "Pt", "Pt", "Pt", "Pt", "Pt"], "fractional_positions": [[0.141, 0.141, 0.141], [0.859, 0.859, 0.859], [0.000, 0.000, 0.000], [0.081, 0.583, 0.583], [0.333, 0.333, 0.333], [0.417, 0.417, 0.919], [0.417, 0.919, 0.417], [0.500, 0.500, 0.500], [0.583, 0.081, 0.583], [0.583, 0.583, 0.081], [0.667, 0.667, 0.667], [0.919, 0.417, 0.417]], "e_form_ev_per_atom": -0.76, "total_energy_ev_per_atom": -5.952, "sg": "No. 166"}

# 6
{"formula": "SrDyPt10", "functional": "PBE", "state": "relaxed", "cell": [[4.430, 0.000, 0.000], [0.000, 5.440, 0.000], [0.000, 0.000, 9.358]], "species": ["Sr", "Dy", "Pt", "Pt", "Pt", "Pt", "Pt", "Pt", "Pt", "Pt", "Pt", "Pt"], "fractional_positions": [[0.000, 0.000, 0.000], [0.000, 0.500, 0.500], [0.000, 0.000, 0.339], [0.000, 0.000, 0.661], [0.000, 0.500, 0.174], [0.000, 0.500, 0.826], [0.500, 0.000, 0.500], [0.500, 0.253, 0.255], [0.500, 0.253, 0.745], [0.500, 0.500, 0.000], [0.500, 0.747, 0.255], [0.500, 0.747, 0.745]], "e_form_ev_per_atom": -0.62, "total_energy_ev_per_atom": -6.181, "sg": "No. 47"}

# 7
{"formula": "SrDy2Pt", "functional": "PBE", "state": "relaxed", "cell": [[2.097, 1.211, 9.333], [-2.097, 1.211, 9.333], [0.000, -2.422, 9.333]], "species": ["Sr", "Dy", "Dy", "Pt"], "fractional_positions": [[0.000, 0.000, 0.000], [0.549, 0.549, 0.549], [0.781, 0.781, 0.781], [0.165, 0.165, 0.165]], "e_form_ev_per_atom": -0.58, "total_energy_ev_per_atom": -4.810, "sg": "No. 160"}

# 8
{"formula": "Dy3TaPt12", "functional": "PBE", "state": "relaxed", "cell": [[4.085, 0.000, 0.000], [0.000, 4.085, 0.000], [0.000, 0.000, 16.390]], "species": ["Dy", "Dy", "Dy", "Ta", "Pt", "Pt", "Pt", "Pt", "Pt", "Pt", "Pt", "Pt", "Pt", "Pt", "Pt", "Pt"], "fractional_positions": [[0.000, 0.000, 0.000], [0.000, 0.000, 0.251], [0.000, 0.000, 0.749], [0.000, 0.000, 0.500], [0.000, 0.500, 0.127], [0.000, 0.500, 0.385], [0.000, 0.500, 0.615], [0.000, 0.500, 0.873], [0.500, 0.000, 0.127], [0.500, 0.000, 0.385], [0.500, 0.000, 0.615], [0.500, 0.000, 0.873], [0.500, 0.500, 0.000], [0.500, 0.500, 0.256], [0.500, 0.500, 0.500], [0.500, 0.500, 0.744]], "e_form_ev_per_atom": -0.98, "total_energy_ev_per_atom": -7.109, "sg": "No. 123"}

# 9
{"formula": "TbDyPt2", "functional": "PBE", "state": "relaxed", "cell": [[4.464, 0.000, 0.000], [0.000, 1.896, 5.294], [0.000, -1.896, 5.294]], "species": ["Tb", "Dy", "Pt", "Pt"], "fractional_positions": [[0.000, 0.000, 0.000], [0.500, 0.724, 0.724], [0.000, 0.274, 0.274], [0.500, 0.450, 0.450]], "e_form_ev_per_atom": -1.28, "total_energy_ev_per_atom": -6.605, "sg": "No. 38"}

# 10
{"formula": "TbDyPt6", "functional": "PBE", "state": "relaxed", "cell": [[4.124, 0.000, 0.000], [0.000, 4.124, 0.000], [0.000, 0.000, 8.247]], "species": ["Tb", "Dy", "Pt", "Pt", "Pt", "Pt", "Pt", "Pt"], "fractional_positions": [[0.000, 0.000, 0.000], [0.000, 0.000, 0.500], [0.000, 0.500, 0.251], [0.000, 0.500, 0.749], [0.500, 0.000, 0.251], [0.500, 0.000, 0.749], [0.500, 0.500, 0.000], [0.500, 0.500, 0.500]], "e_form_ev_per_atom": -1.03, "total_energy_ev_per_atom": -6.713, "sg": "No. 123"}

# 11
{"formula": "TbDy3Pt2", "functional": "PBE", "state": "relaxed", "cell": [[4.776, 0.000, 0.000], [0.000, 8.817, 0.000], [0.000, 0.000, 7.165]], "species": ["Tb", "Tb", "Dy", "Dy", "Dy", "Dy", "Dy", "Dy", "Pt", "Pt", "Pt", "Pt"], "fractional_positions": [[0.000, 0.083, 0.000], [0.000, 0.917, 0.500], [0.000, 0.332, 0.635], [0.000, 0.668, 0.135], [0.500, 0.169, 0.347], [0.500, 0.417, 0.982], [0.500, 0.583, 0.482], [0.500, 0.831, 0.847], [0.000, 0.343, 0.233], [0.000, 0.657, 0.733], [0.500, 0.158, 0.749], [0.500, 0.842, 0.249]], "e_form_ev_per_atom": -0.95, "total_energy_ev_per_atom": -6.036, "sg": "No. 26"}

# 12
{"formula": "TbDy4Pt2", "functional": "PBE", "state": "relaxed", "cell": [[7.768, 0.000, 0.000], [0.000, 6.394, 0.000], [-3.129, 0.000, 7.445]], "species": ["Tb", "Tb", "Dy", "Dy", "Dy", "Dy", "Dy", "Dy", "Dy", "Dy", "Pt", "Pt", "Pt", "Pt"], "fractional_positions": [[0.152, 0.250, 0.026], [0.848, 0.750, 0.974], [0.017, 0.250, 0.387], [0.249, 0.750, 0.346], [0.409, 0.006, 0.768], [0.409, 0.494, 0.768], [0.591, 0.506, 0.232], [0.591, 0.994, 0.232], [0.751, 0.250, 0.654], [0.983, 0.750, 0.613], [0.246, 0.750, 0.992], [0.377, 0.250, 0.412], [0.623, 0.750, 0.588], [0.754, 0.250, 0.008]], "e_form_ev_per_atom": -0.70, "total_energy_ev_per_atom": -5.713, "sg": "No. 11"}